(1)
Computed, not measured: crystalline AcDyIr4 at its relaxed geometry at the PBE level of DFT.

a b c (Å): 5.4697 5.4697 5.4697
angles (deg): 60.00 60.00 60.00
Atoms (fractional coordinates):
Ac 0.0000 0.0000 0.0000
Ir 0.6245 0.6245 0.1266
Ir 0.6245 0.1266 0.6245
Ir 0.6245 0.6245 0.6245
Ir 0.1266 0.6245 0.6245
Dy 0.2500 0.2500 0.2500

Calculated values
space-group type	F-43m (216)
size of the total moment	0.0	μB per cell
raw total energy	-48.00	eV for the cell shown

***

(2)
Computed, not measured: crystalline AcDy2Ir at its relaxed geometry at the PBE level of DFT.

a b c (Å): 4.1126 4.1126 9.3667
angles (deg): 77.32 77.32 60.00
Atoms (fractional coordinates):
Ac 0.5016 0.5016 0.4952
Dy 0.0512 0.0512 0.8463
Dy 0.2810 0.2810 0.1570
Ir 0.6662 0.6662 0.0015

Calculated values
space-group type	R3m (160)
size of the total moment	0.0	μB per cell
energy relative to the lowest polymorph listed for this composition	0.000	eV/atom
raw total energy	-23.83	eV for the cell shown

***

(3)
Computed, not measured: crystalline Ac3DyIr8 at its relaxed geometry at the PBE level of DFT.

a b c (Å): 5.5216 5.5216 9.5599
angles (deg): 73.21 73.21 60.00
Atoms (fractional coordinates):
Ac 0.3753 0.3753 0.8741
Ac 0.9988 0.9988 0.0036
Ac 0.5009 0.5009 0.4974
Dy 0.8743 0.8743 0.3772
Ir 0.9347 0.4360 0.1932
Ir 0.4416 0.9384 0.6815
Ir 0.4360 0.4360 0.1932
Ir 0.9384 0.9384 0.6815
Ir 0.1879 0.1879 0.4363
Ir 0.6876 0.6876 0.9372
Ir 0.4360 0.9347 0.1932
Ir 0.9384 0.4416 0.6815

Calculated values
space-group type	R3m (160)
size of the total moment	0.0	μB per cell
raw total energy	-95.02	eV for the cell shown